Density functional theory data (PBE-GGA) for LuZnRu2 after structural relaxation.

Computed properties:
The calculation puts the total energy at -6.220 eV/atom. The crystal system is tetragonal. The calculation puts the calculated formation energy at -0.133 eV/atom.

Unit cell a=3.2852 b=3.2852 c=6.0960 alpha=90.00 beta=90.00 gamma=90.00
Space group P4/mmm (No. 123)
Unique sites:
Lu  0.0000  0.0000  0.0000 (multiplicity 1)
Zn  0.0000  0.0000  0.5000 (multiplicity 1)
Ru  0.5000  0.5000  0.2869 (multiplicity 2)